1) # GGA-PBE NdAuO, optimized geometry
data_NdAuO
_space_group_name_H-M_alt 'P 1'
_space_group_IT_number 1
_cell_length_a 4.0167
_cell_length_b 4.0166
_cell_length_c 7.4586
_cell_angle_alpha 90.00
_cell_angle_beta 90.00
_cell_angle_gamma 90.00
loop_
_space_group_symop_operation_xyz
'x,y,z'
loop_
_atom_site_label
_atom_site_type_symbol
_atom_site_fract_x
_atom_site_fract_y
_atom_site_fract_z
_atom_site_occupancy
O1 O 0.7500 0.7500 0.5000 1
Nd1 Nd 0.2500 0.7500 0.3396 1
Au1 Au 0.2500 0.7500 0.9167 1
Au2 Au 0.7500 0.2500 0.0833 1
O2 O 0.2500 0.2500 0.5000 1
Nd2 Nd 0.7500 0.2500 0.6604 1
# total magnetization	0.000	μB per cell



2) # GGA-PBE NdAuO, optimized geometry
data_NdAuO
_space_group_name_H-M_alt 'P 1'
_space_group_IT_number 1
_cell_length_a 3.8042
_cell_length_b 3.8042
_cell_length_c 8.5544
_cell_angle_alpha 102.85
_cell_angle_beta 102.85
_cell_angle_gamma 90.00
loop_
_space_group_symop_operation_xyz
'x,y,z'
loop_
_atom_site_label
_atom_site_type_symbol
_atom_site_fract_x
_atom_site_fract_y
_atom_site_fract_z
_atom_site_occupancy
Nd1 Nd 0.9091 0.9091 0.8183 1
Nd2 Nd 0.0909 0.0909 0.1817 1
O1 O 0.5000 0.0000 0.0000 1
Au1 Au 0.7096 0.7096 0.4193 1
Au2 Au 0.2904 0.2904 0.5807 1
O2 O 0.0000 0.5000 0.0000 1
# total magnetization	0.000	μB per cell



The data favor 1); the next most stable structure lies 41.9 kJ/mol of atoms above it.



1) # GGA-PBE Nd3AuO, optimized geometry
data_Nd3AuO
_space_group_name_H-M_alt 'P 1'
_space_group_IT_number 1
_cell_length_a 4.9131
_cell_length_b 4.9131
_cell_length_c 4.9131
_cell_angle_alpha 90.00
_cell_angle_beta 90.00
_cell_angle_gamma 90.00
loop_
_space_group_symop_operation_xyz
'x,y,z'
loop_
_atom_site_label
_atom_site_type_symbol
_atom_site_fract_x
_atom_site_fract_y
_atom_site_fract_z
_atom_site_occupancy
O1 O 0.0000 0.0000 0.0000 1
Nd1 Nd 0.5000 0.0000 0.0000 1
Nd2 Nd 0.0000 0.0000 0.5000 1
Nd3 Nd 0.0000 0.5000 0.0000 1
Au1 Au 0.5000 0.5000 0.5000 1
# total magnetization	0.000	μB per cell



2) # GGA-PBE Nd3AuO, optimized geometry
data_Nd3AuO
_space_group_name_H-M_alt 'P 1'
_space_group_IT_number 1
_cell_length_a 3.8308
_cell_length_b 6.6172
_cell_length_c 9.8783
_cell_angle_alpha 90.00
_cell_angle_beta 90.00
_cell_angle_gamma 106.83
loop_
_space_group_symop_operation_xyz
'x,y,z'
loop_
_atom_site_label
_atom_site_type_symbol
_atom_site_fract_x
_atom_site_fract_y
_atom_site_fract_z
_atom_site_occupancy
Nd1 Nd 0.6278 0.2556 0.0564 1
Au1 Au 0.7541 0.5082 0.7500 1
Nd2 Nd 0.6278 0.2556 0.4436 1
Nd3 Nd 0.9412 0.8824 0.2500 1
Nd4 Nd 0.0588 0.1176 0.7500 1
Au2 Au 0.2459 0.4918 0.2500 1
Nd5 Nd 0.3722 0.7444 0.9436 1
O1 O 0.0000 0.0000 0.0000 1
Nd6 Nd 0.3722 0.7444 0.5564 1
O2 O 0.0000 0.0000 0.5000 1
# total magnetization	0.001	μB per cell



The data favor 2); the next most stable structure lies 7.4 kJ/mol of atoms above it.



1) # GGA-PBE Nd8OsAu2, optimized geometry
data_Nd8OsAu2
_space_group_name_H-M_alt 'P 1'
_space_group_IT_number 1
_cell_length_a 5.2008
_cell_length_b 7.0751
_cell_length_c 9.3679
_cell_angle_alpha 101.58
_cell_angle_beta 106.12
_cell_angle_gamma 90.00
loop_
_space_group_symop_operation_xyz
'x,y,z'
loop_
_atom_site_label
_atom_site_type_symbol
_atom_site_fract_x
_atom_site_fract_y
_atom_site_fract_z
_atom_site_occupancy
Au1 Au 0.8091 0.2673 0.6182 1
Os1 Os 0.5000 0.0000 0.0000 1
Nd1 Nd 0.4129 0.5635 0.8259 1
Au2 Au 0.1909 0.7327 0.3818 1
Nd2 Nd 0.2031 0.3205 0.4063 1
Nd3 Nd 0.3414 0.0322 0.6828 1
Nd4 Nd 0.9727 0.2119 0.9454 1
Nd5 Nd 0.5871 0.4365 0.1741 1
Nd6 Nd 0.7969 0.6795 0.5937 1
Nd7 Nd 0.6586 0.9678 0.3172 1
Nd8 Nd 0.0273 0.7881 0.0546 1
# total magnetization	0.000	μB per cell



2) # GGA-PBE Nd8OsAu2, optimized geometry
data_Nd8OsAu2
_space_group_name_H-M_alt 'P 1'
_space_group_IT_number 1
_cell_length_a 6.5426
_cell_length_b 8.8948
_cell_length_c 8.8948
_cell_angle_alpha 125.22
_cell_angle_beta 106.43
_cell_angle_gamma 106.43
loop_
_space_group_symop_operation_xyz
'x,y,z'
loop_
_atom_site_label
_atom_site_type_symbol
_atom_site_fract_x
_atom_site_fract_y
_atom_site_fract_z
_atom_site_occupancy
Nd1 Nd 0.7620 0.7003 0.7003 1
Nd2 Nd 0.3491 0.6604 0.8890 1
Au1 Au 0.4300 0.7007 0.2855 1
Os1 Os 0.2825 0.0314 0.0314 1
Nd3 Nd 0.6571 0.4303 0.1810 1
Au2 Au 0.4300 0.2855 0.7007 1
Nd4 Nd 0.0911 0.2519 0.2519 1
Nd5 Nd 0.9959 0.1432 0.7603 1
Nd6 Nd 0.3491 0.8890 0.6604 1
Nd7 Nd 0.9959 0.7603 0.1432 1
Nd8 Nd 0.6571 0.1810 0.4303 1
# total magnetization	0.000	μB per cell



The data favor 1); the next most stable structure lies 5.6 kJ/mol of atoms above it.



1) # GGA-PBE NdPaAu, optimized geometry
data_NdPaAu
_space_group_name_H-M_alt 'P 1'
_space_group_IT_number 1
_cell_length_a 5.0342
_cell_length_b 5.0342
_cell_length_c 6.9827
_cell_angle_alpha 90.00
_cell_angle_beta 90.00
_cell_angle_gamma 120.00
loop_
_space_group_symop_operation_xyz
'x,y,z'
loop_
_atom_site_label
_atom_site_type_symbol
_atom_site_fract_x
_atom_site_fract_y
_atom_site_fract_z
_atom_site_occupancy
Nd1 Nd 0.0000 0.0000 0.7745 1
Pa1 Pa 0.3333 0.6667 0.5003 1
Nd2 Nd 0.0000 0.0000 0.2255 1
Au1 Au 0.3333 0.6667 0.0007 1
Pa2 Pa 0.6667 0.3333 0.4997 1
Au2 Au 0.6667 0.3333 0.9993 1
# total magnetization	0.001	μB per cell



2) # GGA-PBE NdPaAu, optimized geometry
data_NdPaAu
_space_group_name_H-M_alt 'P 1'
_space_group_IT_number 1
_cell_length_a 3.4947
_cell_length_b 5.0135
_cell_length_c 5.0135
_cell_angle_alpha 120.00
_cell_angle_beta 90.00
_cell_angle_gamma 90.00
loop_
_space_group_symop_operation_xyz
'x,y,z'
loop_
_atom_site_label
_atom_site_type_symbol
_atom_site_fract_x
_atom_site_fract_y
_atom_site_fract_z
_atom_site_occupancy
Au1 Au 0.2687 0.3333 0.6667 1
Nd1 Nd 0.6777 0.6667 0.3333 1
Pa1 Pa 0.0536 0.0000 0.0000 1
# total magnetization	0.349	μB per cell



The data favor 1); the next most stable structure lies 4.1 kJ/mol of atoms above it.



1) # GGA-PBE NdPaAu2, optimized geometry
data_NdPaAu2
_space_group_name_H-M_alt 'P 1'
_space_group_IT_number 1
_cell_length_a 5.1754
_cell_length_b 5.1754
_cell_length_c 5.1754
_cell_angle_alpha 60.00
_cell_angle_beta 60.00
_cell_angle_gamma 60.00
loop_
_space_group_symop_operation_xyz
'x,y,z'
loop_
_atom_site_label
_atom_site_type_symbol
_atom_site_fract_x
_atom_site_fract_y
_atom_site_fract_z
_atom_site_occupancy
Pa1 Pa 0.0000 0.0000 0.0000 1
Au1 Au 0.2500 0.2500 0.2500 1
Au2 Au 0.7500 0.7500 0.7500 1
Nd1 Nd 0.5000 0.5000 0.5000 1
# total magnetization	1.175	μB per cell



2) # GGA-PBE NdPaAu2, optimized geometry
data_NdPaAu2
_space_group_name_H-M_alt 'P 1'
_space_group_IT_number 1
_cell_length_a 3.4176
_cell_length_b 5.3534
_cell_length_c 5.3534
_cell_angle_alpha 90.00
_cell_angle_beta 90.00
_cell_angle_gamma 90.00
loop_
_space_group_symop_operation_xyz
'x,y,z'
loop_
_atom_site_label
_atom_site_type_symbol
_atom_site_fract_x
_atom_site_fract_y
_atom_site_fract_z
_atom_site_occupancy
Au1 Au 0.0000 0.0000 0.5000 1
Au2 Au 0.0000 0.5000 0.0000 1
Pa1 Pa 0.5000 0.5000 0.5000 1
Nd1 Nd 0.5000 0.0000 0.0000 1
# total magnetization	1.534	μB per cell



3) # GGA-PBE NdPaAu2, optimized geometry
data_NdPaAu2
_space_group_name_H-M_alt 'P 1'
_space_group_IT_number 1
_cell_length_a 3.3425
_cell_length_b 3.3425
_cell_length_c 8.5238
_cell_angle_alpha 90.00
_cell_angle_beta 90.00
_cell_angle_gamma 90.00
loop_
_space_group_symop_operation_xyz
'x,y,z'
loop_
_atom_site_label
_atom_site_type_symbol
_atom_site_fract_x
_atom_site_fract_y
_atom_site_fract_z
_atom_site_occupancy
Au1 Au 0.0000 0.0000 0.2410 1
Pa1 Pa 0.5000 0.5000 0.0000 1
Au2 Au 0.0000 0.0000 0.7590 1
Nd1 Nd 0.5000 0.5000 0.5000 1
# total magnetization	0.975	μB per cell



4) # GGA-PBE NdPaAu2, optimized geometry
data_NdPaAu2
_space_group_name_H-M_alt 'P 1'
_space_group_IT_number 1
_cell_length_a 3.9476
_cell_length_b 3.9476
_cell_length_c 8.3740
_cell_angle_alpha 76.37
_cell_angle_beta 76.37
_cell_angle_gamma 60.00
loop_
_space_group_symop_operation_xyz
'x,y,z'
loop_
_atom_site_label
_atom_site_type_symbol
_atom_site_fract_x
_atom_site_fract_y
_atom_site_fract_z
_atom_site_occupancy
Pa1 Pa 0.0000 0.0000 0.0000 1
Au1 Au 0.7451 0.7451 0.7648 1
Au2 Au 0.2549 0.2549 0.2352 1
Nd1 Nd 0.5000 0.5000 0.5000 1
# total magnetization	0.669	μB per cell



The data favor 3); the next most stable structure lies 1.4 kJ/mol of atoms above it.